No. 1
Material: CeZn2Ag
Method: DFT, meta-GGA SCAN
State: single point on PBEsol structure

Properties
**Calculated formation energy**: -0.222 eV per atom
**Crystal system**: cubic

abc: 6.682 6.682 6.682
angles: 90.00 90.00 90.00
Space group Fm-3m (No. 225)
One atom of each set of equivalent atoms:
Ce  0.000  0.000  0.000 x4
Zn  0.250  0.250  0.250 x8
Ag  0.000  0.000  0.500 x4

---

No. 2
Material: AgCl
Method: DFT, meta-GGA SCAN
State: single point on PBEsol structure

Properties
**Crystal system**: orthorhombic

abc: 3.685 10.827 3.838
angles: 90.00 90.00 90.00
Space group Cmcm (No. 63)
One atom of each set of equivalent atoms:
Ag  0.000  0.101  0.250 x4
Cl  0.000  0.364  0.250 x4

---

No. 3
Material: AgCl
Method: DFT, meta-GGA SCAN
State: single point on PBEsol structure

Properties
**Crystal system**: hexagonal

abc: 3.6024 3.6024 7.0269
angles: 90.00 90.00 120.00
Space group P6_3/mmc (No. 194)
One atom of each set of equivalent atoms:
Ag  0.3333  0.6667  0.2500 x2
Cl  0.0000  0.0000  0.0000 x2

---

No. 4
Material: AgCl
Method: DFT, meta-GGA SCAN
State: single point on PBEsol structure

Properties
**Crystal system**: orthorhombic

abc: 3.830 3.849 5.433
angles: 90.00 90.00 90.00
Space group Immm (No. 71)
One atom of each set of equivalent atoms:
Ag  0.000  0.000  0.000 x2
Cl  0.000  0.000  0.500 x2

---

No. 5
Material: AgCl
Method: DFT, meta-GGA SCAN
State: single point on PBEsol structure

Properties
**Crystal system**: trigonal

abc: 3.9931 3.9931 19.3663
angles: 90.00 90.00 120.00
Space group R-3m (No. 166, hexagonal axes)
One atom of each set of equivalent atoms:
Ag  0.0000  0.0000  0.1237 x6
Cl  0.0000  0.0000  0.4058 x6

---

No. 6
Material: AgCl
Method: DFT, meta-GGA SCAN
State: single point on PBEsol structure

Properties
**Crystal system**: orthorhombic

abc: 7.176 3.636 6.236
angles: 90.00 90.00 90.00
Space group Pnma (No. 62)
One atom of each set of equivalent atoms:
Ag  0.232  0.250  0.097 x4
Cl  0.045  0.250  0.752 x4

---

No. 7
Material: AgCl3
Method: DFT, meta-GGA SCAN
State: single point on PBEsol structure

Properties
**Crystal system**: tetragonal

abc: 4.871 4.871 3.177
angles: 90.00 90.00 90.00
Space group P4/mmm (No. 123)
One atom of each set of equivalent atoms:
Ag  0.000  0.000  0.000 x1
Cl  0.000  0.500  0.500 x2
Cl  0.500  0.500  0.000 x1

---

No. 8
Material: AgCl3
Method: DFT, meta-GGA SCAN
State: single point on PBEsol structure

Properties
**Crystal system**: hexagonal

abc: 3.5632 3.5632 7.6862
angles: 90.00 90.00 120.00
Space group P-6m2 (No. 187)
One atom of each set of equivalent atoms:
Ag  0.0000  0.0000  0.0000 x1
Cl  0.0000  0.0000  0.5000 x1
Cl  0.3333  0.6667  0.2076 x2

---

Record order is preserved below.
E_tot: -25.963, -20.188, -20.179, -20.217, -20.126, -20.185, -13.573, -13.750 eV per atom